Material: Pr2ZnNi2Rh5
Method: DFT, PBE
State: optimized geometry

Unit cell a=3.8864 b=9.3089 c=9.3089 alpha=90.00 beta=90.00 gamma=90.00
With the nearest neighbours (Å) after each atom.
Fractional coordinates of all 20 atoms:
Pr 0.0000 0.6778 0.1778  3 Ni 2.66-2.83
Pr 0.0000 0.3222 0.8222  3 Ni 2.66-2.83
Pr 0.0000 0.1778 0.3222  3 Ni 2.66-2.83
Pr 0.0000 0.8222 0.6778  3 Ni 2.66-2.83
Zn 0.0000 0.0000 0.0000  8 Rh 2.79
Zn 0.0000 0.5000 0.5000  8 Rh 2.79
Ni 0.0000 0.1205 0.6205  6 Rh 2.51-2.58, 1 Pr 2.66
Ni 0.0000 0.8795 0.3795  6 Rh 2.51-2.58, 1 Pr 2.66
Ni 0.0000 0.6205 0.8795  6 Rh 2.51-2.58, 1 Pr 2.66
Ni 0.0000 0.3795 0.1205  6 Rh 2.51-2.58, 1 Pr 2.66
Rh 0.5000 0.2058 0.0635  2 Ni 2.58, 2 Zn 2.79, 3 Rh 2.80-2.84
Rh 0.5000 0.7942 0.9365  2 Ni 2.58, 2 Zn 2.79, 3 Rh 2.80-2.84
Rh 0.5000 0.0635 0.7942  2 Ni 2.58, 2 Zn 2.79, 3 Rh 2.80-2.84
Rh 0.5000 0.7058 0.4365  2 Ni 2.58, 2 Zn 2.79, 3 Rh 2.80-2.84
Rh 0.5000 0.9365 0.2058  2 Ni 2.58, 2 Zn 2.79, 3 Rh 2.80-2.84
Rh 0.5000 0.2942 0.5635  2 Ni 2.58, 2 Zn 2.79, 3 Rh 2.80-2.84
Rh 0.5000 0.5635 0.7058  2 Ni 2.58, 2 Zn 2.79, 3 Rh 2.80-2.84
Rh 0.5000 0.4365 0.2942  2 Ni 2.58, 2 Zn 2.79, 3 Rh 2.80-2.84
Rh 0.5000 0.5000 0.0000  4 Ni 2.51, 4 Rh 2.80
Rh 0.5000 0.0000 0.5000  4 Ni 2.51, 4 Rh 2.80

The total energy is -125.58 eV for the cell shown. Its density of states at the Fermi level is 19.34 states/eV per cell. The calculation puts the total magnetic moment at 0.00 Bohr magnetons per cell. Its space group is P4/mbm. As for the crystal system: tetragonal. The formation energy comes out at -0.364 eV per atom.